# 1
Here is Ac6DyTl2 after structural relaxation from Alexandria via LeMat-Bulk. Energies are from PBE.

```
Ac6DyTl2
1.0
-1.447 1.662 -3.376
-6.750 2.299 1.618
1.162 12.470 3.235
Ac Dy Tl
6 1 2
Direct
0.675 0.528 0.121
0.308 0.786 0.598
0.971 0.722 0.336
0.029 0.278 0.664
0.692 0.214 0.402
0.325 0.472 0.879
0.000 0.000 0.000
0.363 0.098 0.176
0.637 0.902 0.824
```

Values from the calculation:
Formation enthalpy at 0 K   -1.19 eV/f.u.
Total magnetic moment   0.00 μB per formula unit


# 2
Here is Ta2CoIr after structural relaxation from Alexandria via LeMat-Bulk. Energies are from PBE.

```
Ta2CoIr
1.0
8.608 -0.056 -0.033
8.118 2.862 -0.033
8.118 1.362 2.517
Ta Co Ir
2 1 1
Direct
0.003 0.003 0.003
0.242 0.242 0.242
0.503 0.503 0.503
0.751 0.751 0.751
```

Values from the calculation:
Formation enthalpy at 0 K   0.28 eV/f.u.
Total magnetic moment   0.00 μB per formula unit


# 3
Here is LiTmNiGe after structural relaxation from Alexandria via LeMat-Bulk. Energies are from PBE.

```
LiTmNiGe
1.0
4.416 0.000 0.000
2.208 3.824 0.000
2.208 1.275 3.606
Tm Li Ge Ni
1 1 1 1
Direct
0.750 0.750 0.750
0.000 0.000 0.000
0.250 0.250 0.250
0.500 0.500 0.500
```

Values from the calculation:
Formation enthalpy at 0 K   -2.27 eV/f.u.
Total magnetic moment   0.00 μB per formula unit


# 4
Here is Zr2ScP3 after structural relaxation from Alexandria via LeMat-Bulk. Energies are from PBE.

```
Zr2ScP3
1.0
-3.994 0.740 -3.404
1.723 -6.438 -3.420
-6.925 -5.530 6.922
P Zr Sc
12 8 4
Direct
0.750 0.875 0.750
0.750 0.876 0.083
0.250 0.125 0.250
0.750 0.873 0.418
0.250 0.625 0.250
0.750 0.375 0.750
0.250 0.624 0.583
0.250 0.124 0.917
0.750 0.373 0.082
0.250 0.127 0.582
0.750 0.376 0.417
0.250 0.627 0.918
0.250 0.876 0.750
0.250 0.375 0.083
0.250 0.875 0.417
0.250 0.376 0.750
0.750 0.624 0.250
0.750 0.125 0.583
0.750 0.124 0.250
0.750 0.625 0.917
0.250 0.875 0.083
0.750 0.125 0.917
0.250 0.375 0.417
0.750 0.625 0.583
```

Values from the calculation:
Formation enthalpy at 0 K   -8.42 eV/f.u.
Total magnetic moment   0.00 μB per formula unit


Look up the total magnetic moment of the third one. 0.00 μB per formula unit


Copy entry 2 word for word.
Here is Ta2CoIr after structural relaxation from Alexandria via LeMat-Bulk. Energies are from PBE.

```
Ta2CoIr
1.0
8.608 -0.056 -0.033
8.118 2.862 -0.033
8.118 1.362 2.517
Ta Co Ir
2 1 1
Direct
0.003 0.003 0.003
0.242 0.242 0.242
0.503 0.503 0.503
0.751 0.751 0.751
```

Values from the calculation:
Formation enthalpy at 0 K   0.28 eV/f.u.
Total magnetic moment   0.00 μB per formula unit